Entry 1:
Computed, not measured: AlIn3W after structural relaxation at the PBE level of DFT.

abc: 5.3132 5.3132 5.3132
angles: 90.00 90.00 90.00
With the nearest neighbours (Å) after each atom.
Space group Pm-3m (No. 221)
Asymmetric unit:
Al 0.0000 0.0000 0.0000 x1  12 In 3.76
In 0.0000 0.5000 0.5000 x3  2 W 2.66
W 0.5000 0.5000 0.5000 x1  6 In 2.66

Results
Crystal system: cubic
Excess energy over the best structure of this formula in the dataset: 0.000 eV/atom

Entry 2:
Computed, not measured: Th2InOs2 after structural relaxation at the PBE level of DFT.

abc: 4.5356 5.9869 8.6789
angles: 90.00 90.00 90.00
With the nearest neighbours (Å) after each atom.
Space group Immm (No. 71)
Asymmetric unit:
Th 0.0000 0.0000 0.2092 x4  6 Os 3.08-3.16, 2 In 3.39
In 0.0000 0.5000 0.0000 x2  4 Os 2.87
Os 0.0000 0.2943 0.5000 x4  1 Os 2.46

Results
Crystal system: orthorhombic

| no. | total DFT energy (no corrections) (eV for the cell shown) | energy relative to the elements (meV per atom) |
| --- | --- | --- |
| 1 | -20.78 | 827 |
| 2 | -82.72 | -265 |